AcThTlHg PBE relaxed; calculated density = 11.42 g cm⁻³
1.0
5.622 0.000 0.000
2.811 4.868 0.000
2.811 1.623 4.590
Ac Tl Th Hg
1 1 1 1
direct
0.750 0.750 0.750
0.000 0.000 0.000
0.250 0.250 0.250
0.500 0.500 0.500

***

AcTmThHg PBE relaxed; calculated density = 11.19 g cm⁻³
1.0
5.582 0.000 0.000
2.791 4.834 0.000
2.791 1.611 4.558
Ac Tm Hg Th
1 1 1 1
direct
0.000 0.000 0.000
0.750 0.750 0.750
0.500 0.500 0.500
0.250 0.250 0.250

***

AcThZnHg PBE relaxed; calculated density = 10.42 g cm⁻³
1.0
-4.365 3.290 -0.111
-4.907 -2.013 -1.325
-3.881 -0.478 3.820
Zn Ac Hg Th
1 1 1 1
direct
0.250 0.250 0.250
0.000 0.000 0.000
0.750 0.750 0.750
0.500 0.500 0.500

***

AcTiHg2 PBE relaxed; calculated density = 11.00 g cm⁻³
1.0
3.648 0.000 0.000
0.000 3.648 0.000
0.000 0.000 7.666
Ac Hg Ti
1 2 1
direct
0.500 0.500 0.500
0.000 0.000 0.800
0.000 0.000 0.200
0.500 0.500 0.000

***

AcTiHg PBE relaxed; calculated density = 9.36 g cm⁻³
1.0
-0.299 -2.290 2.791
2.763 -0.376 -2.364
8.237 8.927 8.208
Hg Ti Ac
2 2 2
direct
0.610 0.219 0.000
0.279 0.557 0.500
0.609 0.219 0.366
0.609 0.219 0.634
0.280 0.560 0.192
0.280 0.560 0.808

***

AcTl3Hg4 PBE relaxed; calculated density = 11.80 g cm⁻³
1.0
-2.022 4.731 1.862
-2.988 0.083 4.583
5.732 2.879 6.951
Ac Tl Hg
1 3 4
direct
0.000 0.000 0.000
0.250 0.250 0.249
0.750 0.750 0.751
0.500 0.500 0.500
0.872 0.872 0.384
0.380 0.380 0.859
0.128 0.128 0.616
0.620 0.620 0.141

***

AcTlHg4 PBE relaxed; calculated density = 12.06 g cm⁻³; relative energy among the computed polymorphs = 0 meV/atom
1.0
-7.106 5.326 4.061
1.767 -9.429 -1.822
2.331 -0.471 4.695
Ac Tl Hg
2 2 8
direct
0.376 0.624 0.250
0.624 0.376 0.750
0.879 0.121 0.250
0.121 0.879 0.750
0.211 0.296 0.750
0.053 0.473 0.750
0.296 0.211 0.250
0.473 0.053 0.250
0.789 0.704 0.250
0.704 0.789 0.750
0.947 0.527 0.250
0.527 0.947 0.750

***

Ac2Tl3Hg2 PBE relaxed; calculated density = 11.20 g cm⁻³; relative energy among the computed polymorphs = 5 meV/atom
1.0
5.034 0.000 0.000
-2.517 5.739 -0.942
0.000 -0.960 7.696
Ac Tl Hg
2 3 2
direct
0.857 0.714 0.228
0.143 0.286 0.772
0.500 0.000 0.000
0.609 0.219 0.430
0.391 0.781 0.570
0.837 0.674 0.782
0.163 0.326 0.218

***

Summary of formation energy from the elements in eV/atom
-0.2097; 0.1350; -0.1802; -0.0987; 0.2774; -0.1835; -0.2783; -0.3179
(order as listed above)